Density functional theory data (PBE-GGA) for a relaxed structure of KRe2SiAg.

## Properties
- ΔE_f (raw): 2577 meV per atom
- Crystal system: tetragonal
- Energy: -4.28 eV per atom

The structure in POSCAR format:
```
KRe2SiAg
1.0
5.0481 0.0000 0.0000
0.0000 5.0481 0.0000
0.0000 0.0000 5.3290
K Re Si Ag
1 2 1 1
Direct
0.0000 0.0000 0.0000
0.0000 0.5000 0.5000
0.5000 0.0000 0.5000
0.5000 0.5000 0.0000
0.0000 0.0000 0.5000
```